# 1
# SrAl3Tc (PBE, optimized geometry)
data_SrAl3Tc
_cell_length_a 6.749
_cell_length_b 6.749
_cell_length_c 4.923
_cell_angle_alpha 90.00
_cell_angle_beta 90.00
_cell_angle_gamma 90.00
_symmetry_space_group_name_H-M 'P 1'
_symmetry_Int_Tables_number 1
loop_
_symmetry_equiv_pos_as_xyz
'x,y,z'
loop_
_atom_site_label
_atom_site_type_symbol
_atom_site_fract_x
_atom_site_fract_y
_atom_site_fract_z
Al1 Al 0.250 0.250 0.000
Al2 Al 0.750 0.250 0.000
Al3 Al 0.750 0.750 0.000
Al4 Al 0.250 0.750 0.000
Al5 Al 0.000 0.500 0.605
Al6 Al 0.500 0.000 0.395
Sr1 Sr 0.000 0.000 0.500
Sr2 Sr 0.500 0.500 0.500
Tc1 Tc 0.500 0.000 0.891
Tc2 Tc 0.000 0.500 0.109
# **Raw total energy**: -4.977 eV per atom

***

# 2
# LuTaTl (PBE, optimized geometry)
data_LuTaTl
_cell_length_a 4.784
_cell_length_b 4.784
_cell_length_c 4.784
_cell_angle_alpha 60.00
_cell_angle_beta 60.00
_cell_angle_gamma 60.00
_symmetry_space_group_name_H-M 'P 1'
_symmetry_Int_Tables_number 1
loop_
_symmetry_equiv_pos_as_xyz
'x,y,z'
loop_
_atom_site_label
_atom_site_type_symbol
_atom_site_fract_x
_atom_site_fract_y
_atom_site_fract_z
Tl1 Tl 0.000 0.000 0.000
Lu1 Lu 0.250 0.250 0.250
Ta1 Ta 0.750 0.750 0.750
# **Polymorph energy (0 for the lowest one)**: 0.00 eV/f.u.

***

# 3
# HoSnAuSe3 (PBE, optimized geometry)
data_HoSnAuSe3
_cell_length_a 4.047
_cell_length_b 7.152
_cell_length_c 10.592
_cell_angle_alpha 90.00
_cell_angle_beta 90.00
_cell_angle_gamma 73.56
_symmetry_space_group_name_H-M 'P 1'
_symmetry_Int_Tables_number 1
loop_
_symmetry_equiv_pos_as_xyz
'x,y,z'
loop_
_atom_site_label
_atom_site_type_symbol
_atom_site_fract_x
_atom_site_fract_y
_atom_site_fract_z
Ho1 Ho 0.000 0.000 0.000
Ho2 Ho 0.000 0.000 0.500
Se1 Se 0.354 0.293 0.551
Se2 Se 0.905 0.190 0.250
Se3 Se 0.646 0.707 0.449
Se4 Se 0.646 0.707 0.051
Se5 Se 0.354 0.293 0.949
Se6 Se 0.095 0.810 0.750
Sn1 Sn 0.232 0.537 0.250
Sn2 Sn 0.768 0.463 0.750
Au1 Au 0.535 0.931 0.250
Au2 Au 0.465 0.069 0.750
# **Polymorph energy (0 for the lowest one)**: 0.14 eV/f.u.

***

# 4
# Th2Ge5Ir3 (PBE, optimized geometry)
data_Th2Ge5Ir3
_cell_length_a 8.447
_cell_length_b 8.447
_cell_length_c 8.447
_cell_angle_alpha 104.96
_cell_angle_beta 90.58
_cell_angle_gamma 137.03
_symmetry_space_group_name_H-M 'P 1'
_symmetry_Int_Tables_number 1
loop_
_symmetry_equiv_pos_as_xyz
'x,y,z'
loop_
_atom_site_label
_atom_site_type_symbol
_atom_site_fract_x
_atom_site_fract_y
_atom_site_fract_z
Ge1 Ge 0.976 0.750 0.226
Ge2 Ge 0.750 0.250 0.500
Ge3 Ge 0.398 0.344 0.742
Ge4 Ge 0.024 0.250 0.774
Ge5 Ge 0.102 0.844 0.946
Ge6 Ge 0.898 0.156 0.054
Ge7 Ge 0.524 0.750 0.774
Ge8 Ge 0.602 0.656 0.258
Ge9 Ge 0.476 0.250 0.226
Ge10 Ge 0.250 0.750 0.500
Ir1 Ir 0.360 0.112 0.472
Ir2 Ir 0.140 0.612 0.752
Ir3 Ir 0.750 0.750 0.000
Ir4 Ir 0.640 0.888 0.528
Ir5 Ir 0.860 0.388 0.248
Ir6 Ir 0.250 0.250 0.000
Th1 Th 0.634 0.229 0.862
Th2 Th 0.866 0.729 0.595
Th3 Th 0.134 0.271 0.405
Th4 Th 0.366 0.771 0.138
# **Raw total energy**: -7.208 eV per atom

***

# 5
# Tm3Mg3CdHg2 (PBE, optimized geometry)
data_Tm3Mg3CdHg2
_cell_length_a 7.579
_cell_length_b 7.579
_cell_length_c 4.354
_cell_angle_alpha 90.00
_cell_angle_beta 90.00
_cell_angle_gamma 120.00
_symmetry_space_group_name_H-M 'P 1'
_symmetry_Int_Tables_number 1
loop_
_symmetry_equiv_pos_as_xyz
'x,y,z'
loop_
_atom_site_label
_atom_site_type_symbol
_atom_site_fract_x
_atom_site_fract_y
_atom_site_fract_z
Tm1 Tm 0.000 0.581 0.000
Tm2 Tm 0.419 0.419 0.000
Tm3 Tm 0.581 0.000 0.000
Mg1 Mg 0.247 0.000 0.500
Mg2 Mg 0.000 0.247 0.500
Mg3 Mg 0.753 0.753 0.500
Hg1 Hg 0.667 0.333 0.500
Hg2 Hg 0.333 0.667 0.500
Cd1 Cd 0.000 0.000 0.000
# **Raw total energy**: -2.504 eV per atom

***

# 6
# RbFeCl3 (PBE, optimized geometry)
data_RbFeCl3
_cell_length_a 5.962
_cell_length_b 7.346
_cell_length_c 7.930
_cell_angle_alpha 64.10
_cell_angle_beta 88.26
_cell_angle_gamma 89.89
_symmetry_space_group_name_H-M 'P 1'
_symmetry_Int_Tables_number 1
loop_
_symmetry_equiv_pos_as_xyz
'x,y,z'
loop_
_atom_site_label
_atom_site_type_symbol
_atom_site_fract_x
_atom_site_fract_y
_atom_site_fract_z
Rb1 Rb 0.748 0.410 0.265
Rb2 Rb 0.252 0.590 0.735
Cl1 Cl 0.266 0.052 0.809
Cl2 Cl 0.257 0.231 0.180
Cl3 Cl 0.743 0.769 0.820
Cl4 Cl 0.252 0.640 0.303
Cl5 Cl 0.748 0.360 0.697
Cl6 Cl 0.734 0.948 0.191
Fe1 Fe 0.343 0.967 0.114
Fe2 Fe 0.657 0.033 0.886
# **Raw total energy**: -4.226 eV per atom

***

# 7
# Y3Ga8Ag3 (PBE, optimized geometry)
data_Y3Ga8Ag3
_cell_length_a 8.365
_cell_length_b 8.365
_cell_length_c 8.365
_cell_angle_alpha 150.10
_cell_angle_beta 110.17
_cell_angle_gamma 77.78
_symmetry_space_group_name_H-M 'P 1'
_symmetry_Int_Tables_number 1
loop_
_symmetry_equiv_pos_as_xyz
'x,y,z'
loop_
_atom_site_label
_atom_site_type_symbol
_atom_site_fract_x
_atom_site_fract_y
_atom_site_fract_z
Ga1 Ga 0.138 0.357 0.782
Ga2 Ga 0.575 0.357 0.218
Ga3 Ga 0.710 0.841 0.869
Ga4 Ga 0.862 0.643 0.218
Ga5 Ga 0.425 0.643 0.782
Ga6 Ga 0.290 0.159 0.131
Ga7 Ga 0.028 0.159 0.869
Ga8 Ga 0.972 0.841 0.131
Y1 Y 0.301 0.801 0.500
Y2 Y 0.000 0.500 0.500
Y3 Y 0.699 0.199 0.500
Ag1 Ag 0.698 0.000 0.698
Ag2 Ag 0.500 0.500 0.000
Ag3 Ag 0.302 0.000 0.302
# **Raw total energy**: -4.187 eV per atom

***

# 8
# Nd3Dy2YFeTe2 (PBE, optimized geometry)
data_Nd3Dy2YFeTe2
_cell_length_a 4.058
_cell_length_b 8.482
_cell_length_c 8.482
_cell_angle_alpha 120.13
_cell_angle_beta 90.00
_cell_angle_gamma 90.00
_symmetry_space_group_name_H-M 'P 1'
_symmetry_Int_Tables_number 1
loop_
_symmetry_equiv_pos_as_xyz
'x,y,z'
loop_
_atom_site_label
_atom_site_type_symbol
_atom_site_fract_x
_atom_site_fract_y
_atom_site_fract_z
Y1 Y 0.500 0.232 0.232
Fe1 Fe 0.000 0.996 0.996
Te1 Te 0.500 0.666 0.333
Te2 Te 0.500 0.333 0.666
Nd1 Nd 0.000 0.402 0.999
Nd2 Nd 0.000 0.601 0.601
Nd3 Nd 0.000 0.999 0.402
Dy1 Dy 0.500 0.001 0.771
Dy2 Dy 0.500 0.771 0.001
# **Raw total energy**: -5.594 eV per atom

***

# 9
# RbLuPb (PBE, optimized geometry)
data_RbLuPb
_cell_length_a 5.408
_cell_length_b 5.408
_cell_length_c 5.408
_cell_angle_alpha 60.00
_cell_angle_beta 60.00
_cell_angle_gamma 60.00
_symmetry_space_group_name_H-M 'P 1'
_symmetry_Int_Tables_number 1
loop_
_symmetry_equiv_pos_as_xyz
'x,y,z'
loop_
_atom_site_label
_atom_site_type_symbol
_atom_site_fract_x
_atom_site_fract_y
_atom_site_fract_z
Lu1 Lu 0.000 0.000 0.000
Pb1 Pb 0.250 0.250 0.250
Rb1 Rb 0.750 0.750 0.750
# **Polymorph energy (0 for the lowest one)**: 0.00 eV/f.u.

***

# 10
# Sc3Al3NiIr2 (PBE, optimized geometry)
data_Sc3Al3NiIr2
_cell_length_a 6.860
_cell_length_b 6.860
_cell_length_c 3.708
_cell_angle_alpha 90.00
_cell_angle_beta 90.00
_cell_angle_gamma 120.00
_symmetry_space_group_name_H-M 'P 1'
_symmetry_Int_Tables_number 1
loop_
_symmetry_equiv_pos_as_xyz
'x,y,z'
loop_
_atom_site_label
_atom_site_type_symbol
_atom_site_fract_x
_atom_site_fract_y
_atom_site_fract_z
Sc1 Sc 0.407 0.000 0.000
Sc2 Sc 0.593 0.593 0.000
Sc3 Sc 0.000 0.407 0.000
Al1 Al 0.000 0.756 0.500
Al2 Al 0.244 0.244 0.500
Al3 Al 0.756 0.000 0.500
Ir1 Ir 0.667 0.333 0.500
Ir2 Ir 0.333 0.667 0.500
Ni1 Ni 0.000 0.000 0.000
# **Raw total energy**: -6.785 eV per atom

***

# 11
# CsAg5Te2S (PBE, optimized geometry)
data_CsAg5Te2S
_cell_length_a 4.405
_cell_length_b 4.405
_cell_length_c 12.283
_cell_angle_alpha 90.00
_cell_angle_beta 90.00
_cell_angle_gamma 90.00
_symmetry_space_group_name_H-M 'P 1'
_symmetry_Int_Tables_number 1
loop_
_symmetry_equiv_pos_as_xyz
'x,y,z'
loop_
_atom_site_label
_atom_site_type_symbol
_atom_site_fract_x
_atom_site_fract_y
_atom_site_fract_z
Ag1 Ag 0.500 0.000 0.836
Ag2 Ag 0.000 0.500 0.164
Ag3 Ag 0.000 0.000 0.000
Ag4 Ag 0.000 0.500 0.836
Ag5 Ag 0.500 0.000 0.164
S1 S 0.500 0.500 0.000
Cs1 Cs 0.000 0.000 0.500
Te1 Te 0.500 0.500 0.690
Te2 Te 0.500 0.500 0.310
# **Raw total energy**: -2.956 eV per atom

***

# 12
# LiLuPd2 (PBE, optimized geometry)
data_LiLuPd2
_cell_length_a 4.345
_cell_length_b 4.345
_cell_length_c 8.780
_cell_angle_alpha 90.00
_cell_angle_beta 90.00
_cell_angle_gamma 120.00
_symmetry_space_group_name_H-M 'P 1'
_symmetry_Int_Tables_number 1
loop_
_symmetry_equiv_pos_as_xyz
'x,y,z'
loop_
_atom_site_label
_atom_site_type_symbol
_atom_site_fract_x
_atom_site_fract_y
_atom_site_fract_z
Pd1 Pd 0.333 0.667 0.913
Pd2 Pd 0.667 0.333 0.413
Pd3 Pd 0.667 0.333 0.087
Pd4 Pd 0.333 0.667 0.587
Li1 Li 0.000 0.000 0.500
Li2 Li 0.000 0.000 0.000
Lu1 Lu 0.333 0.667 0.250
Lu2 Lu 0.667 0.333 0.750
# **Polymorph energy (0 for the lowest one)**: 0.00 eV/f.u.

***

# 13
# HfNiAgBi (PBE, optimized geometry)
data_HfNiAgBi
_cell_length_a 4.770
_cell_length_b 4.770
_cell_length_c 4.770
_cell_angle_alpha 60.00
_cell_angle_beta 60.00
_cell_angle_gamma 60.00
_symmetry_space_group_name_H-M 'P 1'
_symmetry_Int_Tables_number 1
loop_
_symmetry_equiv_pos_as_xyz
'x,y,z'
loop_
_atom_site_label
_atom_site_type_symbol
_atom_site_fract_x
_atom_site_fract_y
_atom_site_fract_z
Bi1 Bi 0.000 0.000 0.000
Ni1 Ni 0.750 0.750 0.750
Ag1 Ag 0.500 0.500 0.500
Hf1 Hf 0.250 0.250 0.250
# **Raw total energy**: -5.415 eV per atom

***

# 14
# Zr3Cd4Sb4 (PBE, optimized geometry)
data_Zr3Cd4Sb4
_cell_length_a 8.429
_cell_length_b 8.429
_cell_length_c 8.429
_cell_angle_alpha 136.83
_cell_angle_beta 136.83
_cell_angle_gamma 62.70
_symmetry_space_group_name_H-M 'P 1'
_symmetry_Int_Tables_number 1
loop_
_symmetry_equiv_pos_as_xyz
'x,y,z'
loop_
_atom_site_label
_atom_site_type_symbol
_atom_site_fract_x
_atom_site_fract_y
_atom_site_fract_z
Sb1 Sb 0.205 0.205 0.000
Sb2 Sb 0.500 0.000 0.500
Sb3 Sb 0.795 0.795 0.000
Sb4 Sb 0.000 0.500 0.500
Zr1 Zr 0.000 0.000 0.000
Zr2 Zr 0.250 0.750 0.500
Zr3 Zr 0.750 0.250 0.500
Cd1 Cd 0.770 0.447 0.000
Cd2 Cd 0.553 0.553 0.323
Cd3 Cd 0.447 0.770 0.000
Cd4 Cd 0.230 0.230 0.677
# **Raw total energy**: -4.092 eV per atom

***

# 15
# ZnH16C6N2Cl4 (PBE, optimized geometry)
data_ZnH16C6N2Cl4
_cell_length_a 7.059
_cell_length_b 7.059
_cell_length_c 13.932
_cell_angle_alpha 93.17
_cell_angle_beta 93.17
_cell_angle_gamma 115.53
_symmetry_space_group_name_H-M 'P 1'
_symmetry_Int_Tables_number 1
loop_
_symmetry_equiv_pos_as_xyz
'x,y,z'
loop_
_atom_site_label
_atom_site_type_symbol
_atom_site_fract_x
_atom_site_fract_y
_atom_site_fract_z
H1 H 0.459 0.835 0.153
H2 H 0.514 0.199 0.073
H3 H 0.214 0.488 0.988
H4 H 0.261 0.831 0.067
H5 H 0.486 0.801 0.927
H6 H 0.185 0.320 0.481
H7 H 0.199 0.514 0.573
H8 H 0.320 0.185 0.981
H9 H 0.541 0.165 0.847
H10 H 0.359 0.809 0.348
H11 H 0.641 0.191 0.652
H12 H 0.831 0.261 0.567
H13 H 0.191 0.641 0.152
H14 H 0.480 0.459 0.359
H15 H 0.520 0.541 0.641
H16 H 0.165 0.541 0.347
H17 H 0.786 0.512 0.012
H18 H 0.169 0.739 0.433
H19 H 0.512 0.786 0.512
H20 H 0.459 0.480 0.859
H21 H 0.801 0.486 0.427
H22 H 0.809 0.359 0.848
H23 H 0.488 0.214 0.488
H24 H 0.815 0.680 0.519
H25 H 0.718 0.655 0.874
H26 H 0.345 0.282 0.626
H27 H 0.835 0.459 0.653
H28 H 0.655 0.718 0.374
H29 H 0.541 0.520 0.141
H30 H 0.739 0.169 0.933
H31 H 0.282 0.345 0.126
H32 H 0.680 0.815 0.019
C1 C 0.413 0.642 0.465
C2 C 0.684 0.268 0.893
C3 C 0.316 0.732 0.107
C4 C 0.732 0.316 0.607
C5 C 0.709 0.536 0.474
C6 C 0.291 0.464 0.526
C7 C 0.642 0.413 0.965
C8 C 0.464 0.291 0.026
C9 C 0.536 0.709 0.974
C10 C 0.587 0.358 0.535
C11 C 0.358 0.587 0.035
C12 C 0.268 0.684 0.393
Cl1 Cl 0.670 0.834 0.722
Cl2 Cl 0.166 0.330 0.778
Cl3 Cl 0.834 0.670 0.222
Cl4 Cl 0.181 0.918 0.618
Cl5 Cl 0.330 0.166 0.278
Cl6 Cl 0.082 0.819 0.882
Cl7 Cl 0.918 0.181 0.118
Cl8 Cl 0.819 0.082 0.382
N1 N 0.412 0.436 0.089
N2 N 0.588 0.564 0.911
N3 N 0.436 0.412 0.589
N4 N 0.564 0.588 0.411
Zn1 Zn 0.970 0.030 0.250
Zn2 Zn 0.030 0.970 0.750
# **Raw total energy**: -5.041 eV per atom

***

# 16
# Na2HfScGa2Pd2 (PBE, optimized geometry)
data_Na2HfScGa2Pd2
_cell_length_a 4.623
_cell_length_b 4.623
_cell_length_c 6.535
_cell_angle_alpha 90.00
_cell_angle_beta 90.00
_cell_angle_gamma 90.00
_symmetry_space_group_name_H-M 'P 1'
_symmetry_Int_Tables_number 1
loop_
_symmetry_equiv_pos_as_xyz
'x,y,z'
loop_
_atom_site_label
_atom_site_type_symbol
_atom_site_fract_x
_atom_site_fract_y
_atom_site_fract_z
Na1 Na 0.500 0.000 0.259
Na2 Na 0.000 0.500 0.741
Ga1 Ga 0.500 0.500 0.000
Ga2 Ga 0.000 0.000 0.500
Hf1 Hf 0.000 0.000 0.000
Pd1 Pd 0.500 0.000 0.759
Pd2 Pd 0.000 0.500 0.241
Sc1 Sc 0.500 0.500 0.500
# **Raw total energy**: -4.709 eV per atom

***

# 17
# ErTmTeC (PBE, optimized geometry)
data_ErTmTeC
_cell_length_a 3.782
_cell_length_b 3.782
_cell_length_c 13.870
_cell_angle_alpha 90.00
_cell_angle_beta 90.00
_cell_angle_gamma 120.00
_symmetry_space_group_name_H-M 'P 1'
_symmetry_Int_Tables_number 1
loop_
_symmetry_equiv_pos_as_xyz
'x,y,z'
loop_
_atom_site_label
_atom_site_type_symbol
_atom_site_fract_x
_atom_site_fract_y
_atom_site_fract_z
Te1 Te 0.667 0.333 0.000
Te2 Te 0.333 0.667 0.500
Tm1 Tm 0.667 0.333 0.342
Tm2 Tm 0.667 0.333 0.658
Er1 Er 0.333 0.667 0.158
Er2 Er 0.333 0.667 0.842
C1 C 0.000 0.000 0.750
C2 C 0.000 0.000 0.250
# **Raw total energy**: -6.240 eV per atom

***

# 18
# Zr4TaGe4 (PBE, optimized geometry)
data_Zr4TaGe4
_cell_length_a 7.178
_cell_length_b 7.178
_cell_length_c 13.131
_cell_angle_alpha 90.00
_cell_angle_beta 90.00
_cell_angle_gamma 90.00
_symmetry_space_group_name_H-M 'P 1'
_symmetry_Int_Tables_number 1
loop_
_symmetry_equiv_pos_as_xyz
'x,y,z'
loop_
_atom_site_label
_atom_site_type_symbol
_atom_site_fract_x
_atom_site_fract_y
_atom_site_fract_z
Ge1 Ge 0.699 0.358 0.077
Ge2 Ge 0.697 0.037 0.568
Ge3 Ge 0.197 0.463 0.182
Ge4 Ge 0.963 0.303 0.932
Ge5 Ge 0.303 0.963 0.068
Ge6 Ge 0.537 0.803 0.318
Ge7 Ge 0.858 0.801 0.827
Ge8 Ge 0.803 0.537 0.682
Ge9 Ge 0.301 0.642 0.577
Ge10 Ge 0.801 0.858 0.173
Ge11 Ge 0.199 0.142 0.673
Ge12 Ge 0.463 0.197 0.818
Ge13 Ge 0.037 0.697 0.432
Ge14 Ge 0.142 0.199 0.327
Ge15 Ge 0.358 0.699 0.923
Ge16 Ge 0.642 0.301 0.423
Zr1 Zr 0.843 0.503 0.279
Zr2 Zr 0.496 0.653 0.123
Zr3 Zr 0.004 0.153 0.127
Zr4 Zr 0.847 0.996 0.373
Zr5 Zr 0.504 0.347 0.623
Zr6 Zr 0.997 0.343 0.529
Zr7 Zr 0.497 0.157 0.221
Zr8 Zr 0.157 0.497 0.779
Zr9 Zr 0.996 0.847 0.627
Zr10 Zr 0.657 0.003 0.971
Zr11 Zr 0.653 0.496 0.877
Zr12 Zr 0.003 0.657 0.029
Zr13 Zr 0.347 0.504 0.377
Zr14 Zr 0.153 0.004 0.873
Zr15 Zr 0.503 0.843 0.721
Zr16 Zr 0.343 0.997 0.471
Ta1 Ta 0.672 0.672 0.500
Ta2 Ta 0.172 0.828 0.250
Ta3 Ta 0.828 0.172 0.750
Ta4 Ta 0.328 0.328 0.000
# **Raw total energy**: -7.961 eV per atom

***

# 19
# Zr2Sc4Ni3C3 (PBE, optimized geometry)
data_Zr2Sc4Ni3C3
_cell_length_a 5.679
_cell_length_b 5.679
_cell_length_c 13.370
_cell_angle_alpha 101.81
_cell_angle_beta 101.81
_cell_angle_gamma 60.01
_symmetry_space_group_name_H-M 'P 1'
_symmetry_Int_Tables_number 1
loop_
_symmetry_equiv_pos_as_xyz
'x,y,z'
loop_
_atom_site_label
_atom_site_type_symbol
_atom_site_fract_x
_atom_site_fract_y
_atom_site_fract_z
Ni1 Ni 0.080 0.418 0.251
Ni2 Ni 0.091 0.909 0.250
Ni3 Ni 0.920 0.582 0.749
Ni4 Ni 0.418 0.080 0.751
Ni5 Ni 0.909 0.091 0.750
Ni6 Ni 0.582 0.920 0.249
C1 C 0.188 0.656 0.000
C2 C 0.656 0.188 0.500
C3 C 0.000 0.500 0.500
C4 C 0.500 0.000 0.000
C5 C 0.812 0.344 0.000
C6 C 0.344 0.812 0.500
Zr1 Zr 0.635 0.467 0.395
Zr2 Zr 0.467 0.635 0.895
Zr3 Zr 0.533 0.365 0.105
Zr4 Zr 0.365 0.533 0.605
Sc1 Sc 0.697 0.867 0.594
Sc2 Sc 0.867 0.697 0.094
Sc3 Sc 0.194 0.034 0.094
Sc4 Sc 0.034 0.194 0.594
Sc5 Sc 0.303 0.133 0.406
Sc6 Sc 0.806 0.966 0.906
Sc7 Sc 0.966 0.806 0.406
Sc8 Sc 0.133 0.303 0.906
# **Raw total energy**: -7.645 eV per atom